[1]
PuTlBiO | PBE | relaxed

Properties
As for the space group: No. 107. The magnetization is 5.43 μB per formula unit. As for the density of states at the Fermi level: 8.44 states/eV per cell. Its uncorrected formation energy is -1.12 eV/atom.

Structure (CIF):
```
data_PuTlBiO
_symmetry_space_group_name_H-M 'P 1'
_symmetry_Int_Tables_number 1
_symmetry_space_group_name_Hall 'P 1'
_cell_length_a 3.2977
_cell_length_b 3.2977
_cell_length_c 9.6024
_cell_angle_alpha 99.89
_cell_angle_beta 99.89
_cell_angle_gamma 90.00
loop_
_atom_site_label
_atom_site_type_symbol
_atom_site_fract_x
_atom_site_fract_y
_atom_site_fract_z
Pu1 Pu 0.8954 0.8954 0.7909
Tl1 Tl 0.2038 0.2038 0.4076
Bi1 Bi 0.5463 0.5463 0.0927
O1 O 0.3665 0.3665 0.7331
```

[2]
TmPuBiO6 | PBE | relaxed

Properties
As for the space group: No. 163. The magnetization is 2.00 μB per formula unit. As for the density of states at the Fermi level: 13.38 states/eV per cell. Its uncorrected formation energy is -2.44 eV/atom.

Structure (CIF):
```
data_TmPuBiO6
_symmetry_space_group_name_H-M 'P 1'
_symmetry_Int_Tables_number 1
_symmetry_space_group_name_Hall 'P 1'
_cell_length_a 5.7367
_cell_length_b 5.7367
_cell_length_c 9.6291
_cell_angle_alpha 90.00
_cell_angle_beta 90.00
_cell_angle_gamma 120.00
loop_
_atom_site_label
_atom_site_type_symbol
_atom_site_fract_x
_atom_site_fract_y
_atom_site_fract_z
Bi1 Bi 0.0000 0.0000 0.5000
Bi2 Bi 0.0000 0.0000 0.0000
O1 O 0.0208 0.6581 0.8638
O2 O 0.0208 0.3627 0.6362
O3 O 0.3419 0.3627 0.8638
O4 O 0.3627 0.0208 0.1362
O5 O 0.9792 0.3419 0.1362
O6 O 0.6581 0.6373 0.1362
O7 O 0.3419 0.9792 0.6362
O8 O 0.3627 0.3419 0.3638
O9 O 0.6581 0.0208 0.3638
O10 O 0.6373 0.6581 0.6362
O11 O 0.6373 0.9792 0.8638
O12 O 0.9792 0.6373 0.3638
Pu1 Pu 0.3333 0.6667 0.7500
Pu2 Pu 0.6667 0.3333 0.2500
Tm1 Tm 0.3333 0.6667 0.2500
Tm2 Tm 0.6667 0.3333 0.7500
```

Number 1: total energy -7.505 eV per atom, volume 101.3 Å³ per cell. Number 2: total energy -8.269 eV per atom, volume 274.4 Å³ per cell.